[1]
Density functional theory data (GGA-PBE) for a relaxed Na12ZnPb6 crystal.

Summary:
DFT total energy in hartree per atom: -0.080
N(E_F) in states/eV/cell: 21.5
DFT formation energy in eV per atom: -0.10

abc: 11.6079 11.6079 14.7587
angles: 90.00 90.00 120.00
With the nearest neighbours (Å) after each atom.
Space group R-3 (No. 148, hexagonal axes)
Inequivalent atoms, fractional coordinates:
Na 0.0459 0.8551 0.3149  3 Na 3.14-3.47, 3 Pb 3.38-3.49, 1 Zn 3.39
Na 0.0650 0.2281 0.9140  4 Pb 3.28-3.47, 5 Na 3.38-3.67
Zn 0.0000 0.0000 0.5000  6 Pb 3.14, 6 Na 3.39
Pb 0.0370 0.5849 0.2083  1 Zn 3.14, 7 Na 3.28-3.49, 2 Pb 3.31


[2]
Density functional theory data (GGA-PBE) for a relaxed Na2Zn2Pb crystal.

Summary:
DFT total energy in hartree per atom: -0.065
N(E_F) in states/eV/cell: 3.4
Offset from the most stable computed form in eV per atom: 0.000
DFT formation energy in eV per atom: 0.00

abc: 7.7896 7.7896 3.9783
angles: 90.00 90.00 90.00
With the nearest neighbours (Å) after each atom.
Space group P4/mbm (No. 127)
Inequivalent atoms, fractional coordinates:
Na 0.1783 0.3217 0.0000  6 Zn 3.01-3.08
Zn 0.1167 0.6167 0.5000  1 Zn 2.57
Pb 0.0000 0.0000 0.5000  4 Zn 3.12, 8 Na 3.49